P.
{"formula": "GdScAu", "functional": "PBE-GGA", "state": "optimized geometry", "lattice_angstrom": [[1.753, 2.193, 3.767], [-1.691, 4.194, 1.276], [-2.588, 0.402, 3.901]], "species": ["Au", "Gd", "Sc"], "fractional_positions": [[0.250, 0.250, 0.250], [0.750, 0.750, 0.750], [0.000, 0.000, 0.000]], "sg": "F-43m, No. 216"}

Q.
{"formula": "GdScAu", "functional": "PBE-GGA", "state": "optimized geometry", "lattice_angstrom": [[1.157, -4.600, 0.155], [2.140, -1.780, 3.843], [-2.359, -2.944, 2.879]], "species": ["Au", "Gd", "Sc"], "fractional_positions": [[0.250, 0.250, 0.250], [0.000, 0.000, 0.000], [0.750, 0.750, 0.750]], "sg": "F-43m, No. 216"}

It is P that is most stable; the runner-up trails by 135 meV per atom.

P.
{"formula": "GdZrAu", "functional": "PBE-GGA", "state": "optimized geometry", "lattice_angstrom": [[0.000, 3.360, 3.360], [3.360, 0.000, 3.360], [3.360, 3.360, 0.000]], "species": ["Au", "Gd", "Zr"], "fractional_positions": [[0.250, 0.250, 0.250], [0.000, 0.000, 0.000], [0.750, 0.750, 0.750]], "sg": "F-43m, No. 216"}

Q.
{"formula": "GdZrAu", "functional": "PBE-GGA", "state": "optimized geometry", "lattice_angstrom": [[1.524, -4.356, -1.030], [-3.077, -3.320, -1.369], [-0.011, -1.511, -4.481]], "species": ["Au", "Gd", "Zr"], "fractional_positions": [[0.250, 0.250, 0.250], [0.750, 0.750, 0.750], [0.000, 0.000, 0.000]], "sg": "F-43m, No. 216"}

It is Q that is most stable; the runner-up trails by 234 meV per atom.

P.
{"formula": "GeAu15", "functional": "PBE-GGA", "state": "optimized geometry", "lattice_angstrom": [[4.100, 0.000, 0.000], [0.000, 8.329, 0.000], [0.000, 0.000, 47.143]], "species": ["Au", "Au", "Au", "Au", "Au", "Au", "Au", "Au", "Au", "Au", "Au", "Au", "Au", "Au", "Au", "Au", "Au", "Au", "Au", "Au", "Au", "Au", "Au", "Au", "Au", "Au", "Au", "Au", "Au", "Au", "Au", "Au", "Au", "Au", "Au", "Au", "Au", "Au", "Au", "Au", "Au", "Au", "Au", "Au", "Au", "Au", "Au", "Au", "Au", "Au", "Au", "Au", "Au", "Au", "Au", "Au", "Au", "Au", "Au", "Au", "Ge", "Ge", "Ge", "Ge"], "fractional_positions": [[0.750, 0.382, 0.164], [0.250, 0.618, 0.164], [0.750, 0.118, 0.205], [0.250, 0.882, 0.205], [0.250, 0.371, 0.211], [0.750, 0.629, 0.211], [0.250, 0.123, 0.253], [0.750, 0.877, 0.253], [0.750, 0.374, 0.255], [0.250, 0.626, 0.255], [0.750, 0.124, 0.298], [0.250, 0.876, 0.298], [0.250, 0.374, 0.299], [0.750, 0.626, 0.299], [0.250, 0.124, 0.343], [0.750, 0.876, 0.343], [0.750, 0.375, 0.343], [0.250, 0.625, 0.343], [0.750, 0.125, 0.388], [0.250, 0.875, 0.388], [0.250, 0.375, 0.388], [0.750, 0.625, 0.388], [0.250, 0.125, 0.433], [0.750, 0.875, 0.433], [0.750, 0.375, 0.433], [0.250, 0.625, 0.433], [0.250, 0.375, 0.478], [0.750, 0.625, 0.478], [0.750, 0.125, 0.478], [0.250, 0.875, 0.478], [0.250, 0.125, 0.522], [0.750, 0.875, 0.522], [0.750, 0.375, 0.522], [0.250, 0.625, 0.522], [0.250, 0.375, 0.567], [0.750, 0.625, 0.567], [0.750, 0.125, 0.567], [0.250, 0.875, 0.567], [0.750, 0.375, 0.612], [0.250, 0.625, 0.612], [0.250, 0.125, 0.612], [0.750, 0.875, 0.612], [0.250, 0.375, 0.657], [0.750, 0.625, 0.657], [0.750, 0.124, 0.657], [0.250, 0.876, 0.657], [0.750, 0.374, 0.701], [0.250, 0.626, 0.701], [0.250, 0.124, 0.702], [0.750, 0.876, 0.702], [0.250, 0.374, 0.745], [0.750, 0.626, 0.745], [0.750, 0.123, 0.747], [0.250, 0.877, 0.747], [0.750, 0.371, 0.789], [0.250, 0.629, 0.789], [0.250, 0.118, 0.795], [0.750, 0.882, 0.795], [0.250, 0.382, 0.836], [0.750, 0.618, 0.836], [0.250, 0.169, 0.164], [0.750, 0.831, 0.164], [0.750, 0.169, 0.836], [0.250, 0.831, 0.836]], "sg": "Pccm, No. 49"}

Q.
{"formula": "GeAu15", "functional": "PBE-GGA", "state": "optimized geometry", "lattice_angstrom": [[5.086, 0.000, 0.000], [0.000, 37.704, 0.000], [-1.805, 0.000, 4.754]], "species": ["Au", "Au", "Au", "Au", "Au", "Au", "Au", "Au", "Au", "Au", "Au", "Au", "Au", "Au", "Au", "Au", "Au", "Au", "Au", "Au", "Au", "Au", "Au", "Au", "Au", "Au", "Au", "Au", "Au", "Au", "Ge", "Ge"], "fractional_positions": [[0.500, 0.207, 0.250], [0.000, 0.240, 0.250], [0.500, 0.284, 0.250], [0.000, 0.322, 0.250], [0.500, 0.362, 0.250], [0.000, 0.402, 0.250], [0.500, 0.441, 0.250], [0.000, 0.480, 0.250], [0.500, 0.519, 0.250], [0.000, 0.559, 0.250], [0.500, 0.598, 0.250], [0.000, 0.638, 0.250], [0.500, 0.678, 0.250], [0.000, 0.718, 0.250], [0.500, 0.760, 0.250], [0.500, 0.240, 0.750], [0.000, 0.282, 0.750], [0.500, 0.322, 0.750], [0.000, 0.362, 0.750], [0.500, 0.402, 0.750], [0.000, 0.441, 0.750], [0.500, 0.481, 0.750], [0.000, 0.520, 0.750], [0.500, 0.559, 0.750], [0.000, 0.598, 0.750], [0.500, 0.638, 0.750], [0.000, 0.678, 0.750], [0.500, 0.716, 0.750], [0.000, 0.760, 0.750], [0.500, 0.793, 0.750], [0.000, 0.791, 0.250], [0.000, 0.209, 0.750]], "sg": "P2/c, No. 13"}

It is P that is most stable; the runner-up trails by 16 meV per atom.

P.
{"formula": "GeAu15", "functional": "PBE-GGA", "state": "optimized geometry", "lattice_angstrom": [[-6.100, 4.055, 3.894], [-1.614, -0.106, -2.418], [-14.703, -32.966, 11.256]], "species": ["Au", "Au", "Au", "Au", "Au", "Au", "Au", "Au", "Au", "Au", "Au", "Au", "Au", "Au", "Au", "Au", "Au", "Au", "Au", "Au", "Au", "Au", "Au", "Au", "Au", "Au", "Au", "Au", "Au", "Au", "Ge", "Ge"], "fractional_positions": [[0.125, 0.250, 0.208], [0.382, 0.750, 0.240], [0.868, 0.750, 0.240], [0.625, 0.250, 0.283], [0.125, 0.250, 0.284], [0.875, 0.750, 0.322], [0.375, 0.750, 0.322], [0.625, 0.250, 0.362], [0.125, 0.250, 0.362], [0.875, 0.750, 0.401], [0.375, 0.750, 0.402], [0.625, 0.250, 0.441], [0.125, 0.250, 0.441], [0.875, 0.750, 0.480], [0.375, 0.750, 0.480], [0.625, 0.250, 0.520], [0.125, 0.250, 0.520], [0.875, 0.750, 0.559], [0.375, 0.750, 0.559], [0.625, 0.250, 0.598], [0.125, 0.250, 0.599], [0.875, 0.750, 0.638], [0.375, 0.750, 0.638], [0.625, 0.250, 0.678], [0.125, 0.250, 0.678], [0.875, 0.750, 0.716], [0.375, 0.750, 0.717], [0.132, 0.250, 0.760], [0.618, 0.250, 0.760], [0.875, 0.750, 0.792], [0.625, 0.250, 0.208], [0.375, 0.750, 0.792]], "sg": "P2_1/m, No. 11"}

Q.
{"formula": "GeAu15", "functional": "PBE-GGA", "state": "optimized geometry", "lattice_angstrom": [[5.819, 0.000, 0.000], [0.000, 2.926, 0.000], [-0.079, 0.000, 47.228]], "species": ["Au", "Au", "Au", "Au", "Au", "Au", "Au", "Au", "Au", "Au", "Au", "Au", "Au", "Au", "Au", "Au", "Au", "Au", "Au", "Au", "Au", "Au", "Au", "Au", "Au", "Au", "Au", "Au", "Au", "Au", "Ge", "Ge"], "fractional_positions": [[0.625, 0.750, 0.164], [0.880, 0.250, 0.208], [0.370, 0.250, 0.208], [0.625, 0.750, 0.253], [0.125, 0.750, 0.254], [0.375, 0.250, 0.299], [0.875, 0.250, 0.299], [0.625, 0.750, 0.343], [0.125, 0.750, 0.344], [0.376, 0.250, 0.388], [0.874, 0.250, 0.388], [0.125, 0.750, 0.433], [0.625, 0.750, 0.433], [0.875, 0.250, 0.478], [0.375, 0.250, 0.478], [0.625, 0.750, 0.522], [0.125, 0.750, 0.522], [0.375, 0.250, 0.567], [0.875, 0.250, 0.567], [0.126, 0.750, 0.612], [0.624, 0.750, 0.612], [0.875, 0.250, 0.656], [0.375, 0.250, 0.657], [0.125, 0.750, 0.701], [0.625, 0.750, 0.701], [0.875, 0.250, 0.746], [0.375, 0.250, 0.747], [0.630, 0.750, 0.792], [0.120, 0.750, 0.792], [0.375, 0.250, 0.836], [0.126, 0.750, 0.165], [0.874, 0.250, 0.835]], "sg": "P2_1/m, No. 11"}

It is Q that is most stable; the runner-up trails by 11 meV per atom.